# 1
Entry from the Open Quantum Materials Database: an optimized crystal structure of NiPdPt (GGA-PBE).

Values from the calculation:
E = -5.35 eV/atom
Distance to the lowest polymorph of the same formula = 0.0000 eV/atom
Symmetry = F-43m
Size of the total moment = 1.9 μB per cell
E_form = 5.80 kcal/mol of atoms

abc: 4.0732 4.0732 4.0732
angles: 60.00 60.00 60.00
Closest atoms and distances in Å follow each position.
Element x y z (fractional)
Ni 0.0000 0.0000 0.0000  4 Pd 2.49, 4 Pt 2.49
Pd 0.2500 0.2500 0.2500  4 Ni 2.49
Pt 0.7500 0.7500 0.7500  4 Ni 2.49

***

# 2
Entry from the Open Quantum Materials Database: an optimized crystal structure of KRb3Ag2Sb2 (GGA-PBE).

Values from the calculation:
E = -2.63 eV/atom
Symmetry = Pm

abc: 6.8678 6.5608 6.9702
angles: 90.00 104.88 90.00
Closest atoms and distances in Å follow each position.
Element x y z (fractional)
Ag 0.0006 0.2495 0.9974  2 Sb 2.73
Ag 0.0006 0.7505 0.9974  2 Sb 2.73
K 0.8244 0.0000 0.4867  4 Sb 3.66-3.84, 3 Rb 3.74-4.05, 2 Ag 3.82
Rb 0.5210 0.5000 0.1770  3 Rb 3.75-4.07, 4 Sb 3.76-3.89, 4 Ag 3.84-4.15, 2 K 4.18
Rb 0.1765 0.5000 0.5166  4 Sb 3.68-3.83, 1 Rb 3.75, 2 Ag 3.87, 2 K 4.05
Rb 0.4810 0.0000 0.8244  1 K 3.74, 4 Sb 3.78-3.87, 4 Ag 3.83-4.13, 4 Rb 4.07-4.18
Sb 0.2518 0.0000 0.2621  2 Ag 2.73
Sb 0.7442 0.5000 0.7382  2 Ag 2.73

***

# 3
Entry from the Open Quantum Materials Database: an optimized crystal structure of K2NaTcF6 (GGA-PBE).

Values from the calculation:
E = -4.93 eV/atom
Distance to the lowest polymorph of the same formula = 0.0212 eV/atom
Symmetry = P-1
Size of the total moment = 4.0 μB per cell

abc: 5.8105 5.8176 8.2170
angles: 89.88 89.97 89.95
Closest atoms and distances in Å follow each position.
Element x y z (fractional)
F 0.7091 0.2966 0.0001  1 Tc 2.00, 1 Na 2.11
F 0.1975 0.2923 0.0009  1 Tc 2.01, 1 Na 2.10
F 0.9484 0.0509 0.2434  1 Tc 2.00, 1 Na 2.11
F 0.4508 0.5499 0.2564  1 Tc 2.00, 1 Na 2.11
F 0.2007 0.3114 0.4989  1 Tc 2.01, 1 Na 2.11
F 0.2096 0.7991 0.4998  1 Tc 2.01, 1 Na 2.10
F 0.6901 0.3001 0.5002  1 Tc 2.01, 1 Na 2.10
F 0.6993 0.7879 0.5011  1 Tc 2.01, 1 Na 2.11
F 0.4492 0.5494 0.7436  1 Tc 2.00, 1 Na 2.11
F 0.9516 0.0498 0.7566  1 Tc 2.00, 1 Na 2.11
F 0.7026 0.8083 0.9992  1 Tc 2.01, 1 Na 2.10
F 0.1913 0.8042 0.9999  1 Tc 2.00, 1 Na 2.11
K 0.9497 0.5508 0.2498  12 F 2.87-2.94
K 0.4495 0.0498 0.2500  12 F 2.88-2.94
K 0.4504 0.0501 0.7499  12 F 2.87-2.94
K 0.9503 0.5493 0.7503  12 F 2.87-2.94
Na 0.4501 0.5503 0.0000  6 F 2.10-2.11
Na 0.9499 0.0497 0.5000  6 F 2.10-2.11
Tc 0.9501 0.0503 0.0000  6 F 2.00-2.01
Tc 0.4499 0.5497 0.5000  6 F 2.00-2.01